Entry 1:
{
  "formula": "Li8MgZn5",
  "functional": "PBE-GGA",
  "state": "relaxed",
  "lattice": [[-4.077, 4.077, 3.655], [4.077, -4.077, 3.655], [4.077, 4.077, -3.655]],
  "species": ["Li", "Li", "Li", "Li", "Li", "Li", "Li", "Li", "Mg", "Zn", "Zn", "Zn", "Zn", "Zn"],
  "frac_coords": [[0.035, 0.953, 0.393], [0.047, 0.440, 0.082], [0.082, 0.389, 0.618], [0.358, 0.965, 0.918], [0.537, 0.918, 0.307], [0.560, 0.642, 0.607], [0.611, 0.229, 0.693], [0.771, 0.463, 0.382], [0.500, 0.500, 0.000], [0.250, 0.750, 0.500], [0.279, 0.221, 0.229], [0.779, 0.009, 0.059], [0.950, 0.721, 0.941], [0.991, 0.050, 0.771]],
  "crystal_system": "tetragonal",
  "m_tot_mub_per_fu": 0.0,
  "polymorph_energy_ev_per_atom": 0.0000,
  "total_energy_ev_per_cell": -23.75,
  "ef_ev_per_fu": -0.5
}

***

Entry 2:
{
  "formula": "Sr2Ga3Ag4Hg",
  "functional": "PBE-GGA",
  "state": "relaxed",
  "lattice": [[4.408, 0.000, 0.000], [0.000, 4.408, 0.000], [0.000, 0.000, 12.008]],
  "species": ["Sr", "Sr", "Ga", "Ga", "Ga", "Ag", "Ag", "Ag", "Ag", "Hg"],
  "frac_coords": [[0.000, 0.500, 0.242], [0.500, 0.000, 0.758], [0.000, 0.500, 0.870], [0.500, 0.000, 0.130], [0.500, 0.500, 0.500], [0.000, 0.000, 0.000], [0.000, 0.500, 0.652], [0.500, 0.000, 0.348], [0.500, 0.500, 0.000], [0.000, 0.000, 0.500]],
  "crystal_system": "tetragonal",
  "m_tot_mub_per_fu": 0.0,
  "total_energy_ev_per_cell": -26.93,
  "ef_ev_per_fu": -2.8
}

***

Entry 3:
{
  "formula": "YOsPb",
  "functional": "PBE-GGA",
  "state": "relaxed",
  "lattice": [[4.742, 0.000, 0.000], [-2.371, 4.107, 0.000], [0.000, 0.000, 3.465]],
  "species": ["Y", "Os", "Pb"],
  "frac_coords": [[0.000, 0.000, 0.000], [0.667, 0.333, 0.500], [0.333, 0.667, 0.500]],
  "crystal_system": "hexagonal",
  "m_tot_mub_per_fu": 0.0,
  "total_energy_ev_per_cell": -21.02,
  "ef_ev_per_fu": 0.4
}

***

Entry 4:
{
  "formula": "LiMg3Au",
  "functional": "PBE-GGA",
  "state": "relaxed",
  "lattice": [[5.136, 0.000, 0.000], [0.000, 5.136, 0.000], [0.000, 0.000, 5.136]],
  "species": ["Li", "Mg", "Mg", "Mg", "Au"],
  "frac_coords": [[0.000, 0.000, 0.000], [0.000, 0.500, 0.500], [0.500, 0.000, 0.500], [0.500, 0.500, 0.000], [0.500, 0.500, 0.500]],
  "crystal_system": "cubic",
  "m_tot_mub_per_fu": 0.0,
  "polymorph_energy_ev_per_atom": 0.2481,
  "total_energy_ev_per_cell": -10.52,
  "ef_ev_per_fu": -0.5
}

***

Entry 5:
{
  "formula": "PmSmAlHg",
  "functional": "PBE-GGA",
  "state": "relaxed",
  "lattice": [[0.000, 3.771, 3.771], [3.771, 0.000, 3.771], [3.771, 3.771, 0.000]],
  "species": ["Pm", "Sm", "Al", "Hg"],
  "frac_coords": [[0.000, 0.000, 0.000], [0.500, 0.500, 0.500], [0.750, 0.750, 0.750], [0.250, 0.250, 0.250]],
  "crystal_system": "cubic",
  "m_tot_mub_per_fu": 0.0,
  "polymorph_energy_ev_per_atom": 0.0390,
  "total_energy_ev_per_cell": -15.07,
  "ef_ev_per_fu": -1.6
}

***

Entry 6:
{
  "formula": "DyFeRe",
  "functional": "PBE-GGA",
  "state": "relaxed",
  "lattice": [[-2.579, 2.662, 3.813], [2.579, -2.662, 3.813], [2.579, 2.662, -3.813]],
  "species": ["Dy", "Dy", "Fe", "Fe", "Re", "Re"],
  "frac_coords": [[0.374, 0.124, 0.250], [0.626, 0.876, 0.750], [0.000, 0.500, 0.500], [0.500, 0.500, 0.000], [0.000, 0.000, 0.500], [0.000, 0.500, 0.000]],
  "crystal_system": "orthorhombic",
  "m_tot_mub_per_fu": 1.7,
  "polymorph_energy_ev_per_atom": 0.0078,
  "total_energy_ev_per_cell": -51.62,
  "ef_ev_per_fu": -0.3
}

***

Entry 7:
{
  "formula": "Nd3MnGaS7",
  "functional": "PBE-GGA",
  "state": "relaxed",
  "lattice": [[9.995, 0.000, 0.000], [-4.998, 8.656, 0.000], [0.000, 0.000, 6.228]],
  "species": ["Nd", "Nd", "Nd", "Nd", "Nd", "Nd", "Mn", "Mn", "Ga", "Ga", "S", "S", "S", "S", "S", "S", "S", "S", "S", "S", "S", "S", "S", "S"],
  "frac_coords": [[0.151, 0.377, 0.000], [0.227, 0.849, 0.000], [0.377, 0.227, 0.500], [0.623, 0.773, 0.000], [0.773, 0.151, 0.500], [0.849, 0.623, 0.500], [0.000, 0.000, 0.299], [0.000, 0.000, 0.799], [0.333, 0.667, 0.422], [0.667, 0.333, 0.922], [0.093, 0.574, 0.270], [0.098, 0.238, 0.575], [0.140, 0.902, 0.575], [0.238, 0.140, 0.075], [0.333, 0.667, 0.786], [0.426, 0.520, 0.270], [0.480, 0.907, 0.270], [0.520, 0.093, 0.770], [0.574, 0.480, 0.770], [0.667, 0.333, 0.286], [0.762, 0.860, 0.575], [0.860, 0.098, 0.075], [0.902, 0.762, 0.075], [0.907, 0.426, 0.770]],
  "crystal_system": "hexagonal",
  "m_tot_mub_per_fu": 5.0,
  "total_energy_ev_per_cell": -147.80,
  "formation_energy_uncorrected_ev_per_atom": -1.542
}

***

Entry 8:
{
  "formula": "BeP2RuS",
  "functional": "PBE-GGA",
  "state": "relaxed",
  "lattice": [[4.388, 0.000, 0.000], [0.000, 4.388, 0.000], [0.000, 0.000, 5.236]],
  "species": ["Be", "P", "P", "Ru", "S"],
  "frac_coords": [[0.000, 0.000, 0.000], [0.000, 0.500, 0.500], [0.500, 0.000, 0.500], [0.500, 0.500, 0.500], [0.500, 0.500, 0.000]],
  "crystal_system": "tetragonal",
  "m_tot_mub_per_fu": 0.0,
  "polymorph_energy_ev_per_atom": 0.0769,
  "total_energy_ev_per_cell": -23.46,
  "formation_energy_uncorrected_ev_per_atom": 0.898
}

***

Entry 9:
{
  "formula": "BaHg2P2",
  "functional": "PBE-GGA",
  "state": "relaxed",
  "lattice": [[-2.469, 2.469, 5.151], [2.469, -2.469, 5.151], [2.469, 2.469, -5.151]],
  "species": ["Ba", "Hg", "Hg", "P", "P"],
  "frac_coords": [[0.000, 0.000, 0.000], [0.363, 0.363, 0.000], [0.637, 0.637, 0.000], [0.250, 0.750, 0.500], [0.750, 0.250, 0.500]],
  "crystal_system": "tetragonal",
  "m_tot_mub_per_fu": 0.0,
  "total_energy_ev_per_cell": -14.48,
  "ef_ev_per_fu": -1.1
}

***

Entry 10:
{
  "formula": "Na4FeH6",
  "functional": "PBE-GGA",
  "state": "relaxed",
  "lattice": [[6.423, 0.000, 0.000], [0.000, 6.423, 0.000], [0.000, 0.000, 6.638]],
  "species": ["Na", "Na", "Na", "Na", "Na", "Na", "Na", "Na", "Fe", "Fe", "H", "H", "H", "H", "H", "H", "H", "H", "H", "H", "H", "H"],
  "frac_coords": [[0.194, 0.306, 0.250], [0.194, 0.306, 0.750], [0.306, 0.806, 0.250], [0.306, 0.806, 0.750], [0.694, 0.194, 0.250], [0.694, 0.194, 0.750], [0.806, 0.694, 0.250], [0.806, 0.694, 0.750], [0.000, 0.000, 0.000], [0.500, 0.500, 0.500], [0.000, 0.000, 0.246], [0.000, 0.000, 0.754], [0.055, 0.750, 0.000], [0.250, 0.055, 0.000], [0.250, 0.555, 0.500], [0.445, 0.250, 0.500], [0.500, 0.500, 0.254], [0.500, 0.500, 0.746], [0.555, 0.750, 0.500], [0.750, 0.445, 0.500], [0.750, 0.945, 0.000], [0.945, 0.250, 0.000]],
  "crystal_system": "tetragonal",
  "m_tot_mub_per_fu": 0.1,
  "total_energy_ev_per_cell": -71.60
}

***

Entry 11:
{
  "formula": "DySc3Co",
  "functional": "PBE-GGA",
  "state": "relaxed",
  "lattice": [[6.154, -1.769, 0.000], [6.154, 1.769, 0.000], [-0.426, 0.000, 10.444]],
  "species": ["Dy", "Dy", "Sc", "Sc", "Sc", "Sc", "Sc", "Sc", "Co", "Co"],
  "frac_coords": [[0.152, 0.152, 0.086], [0.848, 0.848, 0.914], [0.061, 0.061, 0.373], [0.223, 0.223, 0.635], [0.425, 0.425, 0.175], [0.575, 0.575, 0.825], [0.777, 0.777, 0.365], [0.939, 0.939, 0.627], [0.410, 0.410, 0.439], [0.590, 0.590, 0.561]],
  "crystal_system": "monoclinic",
  "m_tot_mub_per_fu": 0.0,
  "polymorph_energy_ev_per_atom": 0.0000,
  "total_energy_ev_per_cell": -62.63,
  "ef_ev_per_fu": -0.6
}

***

Entry 12:
{
  "formula": "CsRb2GaF6",
  "functional": "PBE-GGA",
  "state": "relaxed",
  "lattice": [[0.000, 4.714, 4.714], [4.714, 0.000, 4.714], [4.714, 4.714, 0.000]],
  "species": ["Cs", "Rb", "Rb", "Ga", "F", "F", "F", "F", "F", "F"],
  "frac_coords": [[0.000, 0.000, 0.000], [0.250, 0.250, 0.250], [0.750, 0.750, 0.750], [0.500, 0.500, 0.500], [0.295, 0.295, 0.705], [0.295, 0.705, 0.295], [0.295, 0.705, 0.705], [0.705, 0.295, 0.295], [0.705, 0.295, 0.705], [0.705, 0.705, 0.295]],
  "crystal_system": "cubic",
  "m_tot_mub_per_fu": 0.0,
  "polymorph_energy_ev_per_atom": 0.0344,
  "total_energy_ev_per_cell": -44.54,
  "formation_energy_uncorrected_ev_per_atom": -2.749
}

***

Entry 13:
{
  "formula": "DyCd4Ag7",
  "functional": "PBE-GGA",
  "state": "relaxed",
  "lattice": [[5.431, -2.630, 0.000], [5.431, 2.630, 0.000], [-5.261, 0.000, 8.968]],
  "species": ["Dy", "Cd", "Cd", "Cd", "Cd", "Ag", "Ag", "Ag", "Ag", "Ag", "Ag", "Ag"],
  "frac_coords": [[0.000, 0.000, 0.000], [0.182, 0.182, 0.775], [0.409, 0.409, 0.685], [0.591, 0.591, 0.315], [0.818, 0.818, 0.225], [0.111, 0.111, 0.459], [0.302, 0.302, 0.089], [0.331, 0.331, 0.375], [0.500, 0.500, 0.000], [0.669, 0.669, 0.625], [0.698, 0.698, 0.911], [0.889, 0.889, 0.541]],
  "crystal_system": "monoclinic",
  "m_tot_mub_per_fu": 0.0,
  "total_energy_ev_per_cell": -27.61,
  "ef_ev_per_fu": 0.6
}

***

Entry 14:
{
  "formula": "MgNiC2",
  "functional": "PBE-GGA",
  "state": "relaxed",
  "lattice": [[-2.463, 2.463, 4.064], [2.463, -2.463, 4.064], [2.463, 2.463, -4.064]],
  "species": ["Mg", "Mg", "Ni", "Ni", "C", "C", "C", "C"],
  "frac_coords": [[0.000, 0.000, 0.000], [0.750, 0.250, 0.500], [0.250, 0.750, 0.500], [0.500, 0.500, 0.000], [0.194, 0.625, 0.069], [0.375, 0.444, 0.569], [0.556, 0.125, 0.931], [0.875, 0.806, 0.431]],
  "crystal_system": "tetragonal",
  "m_tot_mub_per_fu": 0.0,
  "total_energy_ev_per_cell": -42.81,
  "ef_ev_per_fu": 4.4
}

***

Entry 15:
{
  "formula": "Dy12Tm5Sc2",
  "functional": "PBE-GGA",
  "state": "relaxed",
  "lattice": [[6.346, 0.000, 0.000], [-1.203, 8.750, 0.000], [-0.573, -3.914, 10.485]],
  "species": ["Dy", "Dy", "Dy", "Dy", "Dy", "Dy", "Dy", "Dy", "Dy", "Dy", "Dy", "Dy", "Tm", "Tm", "Tm", "Tm", "Tm", "Sc", "Sc"],
  "frac_coords": [[0.004, 0.402, 0.220], [0.027, 0.194, 0.640], [0.199, 0.175, 0.359], [0.313, 0.008, 0.804], [0.447, 0.658, 0.261], [0.459, 0.263, 0.127], [0.541, 0.737, 0.873], [0.553, 0.342, 0.739], [0.687, 0.992, 0.196], [0.801, 0.825, 0.641], [0.973, 0.806, 0.360], [0.996, 0.598, 0.780], [0.152, 0.865, 0.073], [0.278, 0.602, 0.537], [0.500, 0.000, 0.500], [0.722, 0.398, 0.463], [0.848, 0.135, 0.927], [0.235, 0.450, 0.965], [0.765, 0.550, 0.035]],
  "crystal_system": "triclinic",
  "m_tot_mub_per_fu": 0.0,
  "polymorph_energy_ev_per_atom": 0.0000,
  "total_energy_ev_per_cell": -88.53,
  "ef_ev_per_fu": 1.7
}

***

Entry 16:
{
  "formula": "TcNi2Au",
  "functional": "PBE-GGA",
  "state": "relaxed",
  "lattice": [[-1.369, 2.197, 4.527], [1.369, -2.197, 4.527], [1.369, 2.197, -4.527]],
  "species": ["Tc", "Ni", "Ni", "Au"],
  "frac_coords": [[0.000, 0.000, 0.000], [0.546, 0.546, 0.000], [0.770, 0.270, 0.500], [0.282, 0.782, 0.500]],
  "crystal_system": "orthorhombic",
  "m_tot_mub_per_fu": 0.0,
  "polymorph_energy_ev_per_atom": 0.2180,
  "total_energy_ev_per_cell": -24.16,
  "ef_ev_per_fu": 1.0
}

***

Entry 17:
{
  "formula": "GdErTl2",
  "functional": "PBE-GGA",
  "state": "relaxed",
  "lattice": [[3.595, 0.000, 0.000], [0.000, 3.595, 0.000], [0.000, 0.000, 8.431]],
  "species": ["Gd", "Er", "Tl", "Tl"],
  "frac_coords": [[0.000, 0.000, 0.000], [0.000, 0.000, 0.500], [0.500, 0.500, 0.255], [0.500, 0.500, 0.745]],
  "crystal_system": "tetragonal",
  "m_tot_mub_per_fu": 7.2,
  "polymorph_energy_ev_per_atom": 0.0000,
  "total_energy_ev_per_cell": -24.82,
  "ef_ev_per_fu": -1.4
}